No. 1
# Tb12Nd6Dy

Tb12Nd6Dy after structural relaxation (PBE-GGA, the Alexandria database).

a b c (Å): 13.3350 13.3350 12.6847
angles (deg): 90.00 90.00 120.00
Space group R-3m (No. 166, hexagonal axes)
One atom of each set of equivalent atoms:
1 Tb 0.0000 0.2577 0.0000 x18
2 Tb 0.0910 0.1821 0.7648 x18
3 Nd 0.0412 0.5206 0.1164 x18
4 Dy 0.0000 0.0000 0.5000 x3

density of states at the Fermi level = 1.630 states/eV/atom
M_tot = 0.00 μB per formula unit
final energy = -4.4619 eV/atom
energy relative to the lowest polymorph listed for this composition = 0.0873 eV per atom
formation enthalpy at 0 K = 20.3 kJ/mol of atoms

---

No. 2
# CsPaAgI6

CsPaAgI6 after structural relaxation (PBE-GGA, the Alexandria database).

a b c (Å): 7.8692 7.8692 17.7330
angles (deg): 90.00 90.00 120.00
Space group P-31c (No. 163)
One atom of each set of equivalent atoms:
1 Cs 0.0000 0.0000 0.0000 x2
2 Pa 0.3333 0.6667 0.2500 x2
3 Ag 0.3333 0.6667 0.7500 x2
4 I 0.0048 0.3656 0.1501 x12

density of states at the Fermi level = 0.106 states/eV/atom
energy relative to the elements, uncorrected = -929 meV/atom
M_tot = 1.00 μB per formula unit
final energy = -3.4289 eV/atom

---

No. 3
# TcHg3

TcHg3 after structural relaxation (PBE-GGA, the Alexandria database).

a b c (Å): 6.0538 6.0538 9.9581
angles (deg): 90.00 90.00 120.00
Space group P6_3/mmc (No. 194)
One atom of each set of equivalent atoms:
1 Tc 0.0000 0.0000 0.0000 x2
2 Tc 0.3333 0.6667 0.2500 x2
3 Hg 0.0000 0.5000 0.0000 x6
4 Hg 0.1621 0.3243 0.7500 x6

density of states at the Fermi level = 0.407 states/eV/atom
M_tot = 1.11 μB per formula unit
final energy = -2.2539 eV/atom
energy relative to the lowest polymorph listed for this composition = 0.2219 eV per atom
formation enthalpy at 0 K = 54.4 kJ/mol of atoms

---

No. 4
# RbAlF2

RbAlF2 after structural relaxation (PBE-GGA, the Alexandria database).

a b c (Å): 5.614 5.614 12.570
angles (deg): 90.00 90.00 90.00
Space group I-42d (No. 122)
One atom of each set of equivalent atoms:
1 Rb 0.000 0.000 0.000 x4
2 Al 0.000 0.000 0.500 x4
3 F 0.166 0.250 0.625 x8

energy relative to the elements, uncorrected = -1874 meV/atom
M_tot = 0.00 μB per formula unit
final energy = -3.9867 eV/atom
energy relative to the lowest polymorph listed for this composition = 0.2689 eV per atom

---

No. 5
# NaMnInIr2

NaMnInIr2 after structural relaxation (PBE-GGA, the Alexandria database).

a b c (Å): 4.586 4.586 4.568
angles (deg): 90.00 90.00 90.00
Space group P4/mmm (No. 123)
One atom of each set of equivalent atoms:
1 Na 0.000 0.000 0.000 x1
2 Mn 0.500 0.500 0.500 x1
3 In 0.000 0.000 0.500 x1
4 Ir 0.000 0.500 0.000 x2

density of states at the Fermi level = 1.326 states/eV/atom
M_tot = 0.18 μB per formula unit
final energy = -3.9864 eV/atom
formation enthalpy at 0 K = 212.6 kJ/mol of atoms

---

No. 6
# CeEuGdTm

CeEuGdTm after structural relaxation (PBE-GGA, the Alexandria database).

a b c (Å): 8.127 8.127 8.127
angles (deg): 90.00 90.00 90.00
Space group F-43m (No. 216)
One atom of each set of equivalent atoms:
1 Ce 0.000 0.000 0.000 x4
2 Eu 0.000 0.000 0.500 x4
3 Gd 0.250 0.250 0.750 x4
4 Tm 0.250 0.250 0.250 x4

density of states at the Fermi level = 2.534 states/eV/atom
M_tot = 1.90 μB per formula unit
final energy = -8.4702 eV/atom
formation enthalpy at 0 K = 21.2 kJ/mol of atoms

---

No. 7
# Sm4YS5

Sm4YS5 after structural relaxation (PBE-GGA, the Alexandria database).

a b c (Å): 3.990 5.641 19.980
angles (deg): 90.00 90.00 90.00
Space group Immm (No. 71)
One atom of each set of equivalent atoms:
1 Sm 0.000 0.000 0.100 x4
2 Sm 0.000 0.000 0.301 x4
3 Y 0.000 0.000 0.500 x2
4 S 0.000 0.500 0.097 x4
5 S 0.000 0.500 0.300 x4
6 S 0.000 0.500 0.500 x2

density of states at the Fermi level = 0.467 states/eV/atom
energy relative to the elements, uncorrected = -2014 meV/atom
M_tot = 0.00 μB per formula unit
final energy = -6.6113 eV/atom

---

No. 8
# Dy2MgNi

Dy2MgNi after structural relaxation (PBE-GGA, the Alexandria database).

a b c (Å): 3.2958 3.2958 31.5311
angles (deg): 90.00 90.00 120.00
Space group R-3m (No. 166, hexagonal axes)
One atom of each set of equivalent atoms:
1 Dy 0.0000 0.0000 0.0795 x6
2 Mg 0.0000 0.0000 0.5000 x3
3 Ni 0.0000 0.0000 0.0000 x3

density of states at the Fermi level = 0.927 states/eV/atom
M_tot = 0.00 μB per formula unit
final energy = -3.7538 eV/atom
energy relative to the lowest polymorph listed for this composition = 0.6418 eV per atom
formation enthalpy at 0 K = 37.7 kJ/mol of atoms

---

Which value of final energy does entry 7 give?
-6.6113 eV/atom

---

Number 5 is which compound?
NaMnInIr2

---

Repeat the fifth record exactly.
# NaMnInIr2

NaMnInIr2 after structural relaxation (PBE-GGA, the Alexandria database).

a b c (Å): 4.586 4.586 4.568
angles (deg): 90.00 90.00 90.00
Space group P4/mmm (No. 123)
One atom of each set of equivalent atoms:
1 Na 0.000 0.000 0.000 x1
2 Mn 0.500 0.500 0.500 x1
3 In 0.000 0.000 0.500 x1
4 Ir 0.000 0.500 0.000 x2

density of states at the Fermi level = 1.326 states/eV/atom
M_tot = 0.18 μB per formula unit
final energy = -3.9864 eV/atom
formation enthalpy at 0 K = 212.6 kJ/mol of atoms